# CdSi2TcMo

An optimized crystal structure of CdSi2TcMo (PBEsol, Alexandria via LeMat-Bulk).

abc: 4.6570 4.6570 4.9255
angles: 90.00 90.00 90.00
Last column: nearest neighbours and their distance in Å.
Fractional coordinates of all 5 atoms:
1 Mo 0.5000 0.5000 0.5000  4 Tc 3.29, 8 Si 3.39
2 Si 0.0000 0.5000 0.0000  2 Cd 2.33
3 Si 0.5000 0.0000 0.0000  2 Cd 2.33
4 Tc 0.0000 0.0000 0.5000  2 Cd 2.46
5 Cd 0.0000 0.0000 0.0000  4 Si 2.33, 2 Tc 2.46

As for the density of states at the Fermi level: 5.07 states/eV/f.u. The volume is 106.82 Å³/cell. The value obtained for the raw total energy is -4.85 eV/atom. The space-group type is P4/mmm (123).

# KNaNO2

An optimized crystal structure of KNaNO2 (PBEsol, Alexandria via LeMat-Bulk).

abc: 4.9745 4.7573 4.7573
angles: 90.00 90.00 90.00
Last column: nearest neighbours and their distance in Å.
Fractional coordinates of all 5 atoms:
1 Na 0.5000 0.5000 0.5000  4 N 3.36, 8 O 3.44
2 K 0.0000 0.0000 0.0000  4 O 2.38, 2 N 2.49
3 O 0.0000 0.0000 0.5000  2 K 2.38
4 O 0.0000 0.5000 0.0000  2 K 2.38
5 N 0.5000 0.0000 0.0000  2 K 2.49

As for the density of states at the Fermi level: 3.87 states/eV/f.u. The volume is 112.58 Å³/cell. The value obtained for the raw total energy is -3.31 eV/atom. The space-group type is P4/mmm (123).

# Fe4Tc5

An optimized crystal structure of Fe4Tc5 (PBEsol, Alexandria via LeMat-Bulk).

abc: 3.6917 5.7924 5.7924
angles: 84.17 71.42 71.42
Last column: nearest neighbours and their distance in Å.
Fractional coordinates of all 9 atoms:
1 Fe 0.6559 0.3441 0.3441  5 Fe 2.42-2.52, 7 Tc 2.56-2.67
2 Fe 0.3441 0.6559 0.6559  5 Fe 2.42-2.52, 7 Tc 2.56-2.67
3 Fe 0.0000 0.6559 0.3441  5 Fe 2.42-2.52, 7 Tc 2.56-2.67
4 Fe 0.0000 0.3441 0.6559  5 Fe 2.42-2.52, 7 Tc 2.56-2.67
5 Tc 0.0000 0.0000 0.0000  8 Tc 2.63, 4 Fe 2.67
6 Tc 0.6712 0.0000 0.6576  6 Tc 2.53-2.66, 6 Fe 2.56-2.64
7 Tc 0.3288 0.3424 0.0000  6 Tc 2.53-2.66, 6 Fe 2.56-2.64
8 Tc 0.6712 0.6576 0.0000  6 Tc 2.53-2.66, 6 Fe 2.56-2.64
9 Tc 0.3288 0.0000 0.3424  6 Tc 2.53-2.66, 6 Fe 2.56-2.64

As for the density of states at the Fermi level: 10.14 states/eV/f.u. The volume is 111.29 Å³/cell. The value obtained for the raw total energy is -10.15 eV/atom. The space-group type is I4/mmm (139).

# Hg2OsSe

An optimized crystal structure of Hg2OsSe (PBEsol, Alexandria via LeMat-Bulk).

abc: 2.8928 2.9762 10.5961
angles: 90.00 90.00 119.08
Last column: nearest neighbours and their distance in Å.
Fractional coordinates of all 4 atoms:
1 Hg 0.0000 0.0000 0.0070  6 Hg 2.89-2.98
2 Hg 0.5000 0.0000 0.2823  2 Os 2.85, 6 Hg 2.89-2.98
3 Os 0.0000 0.0000 0.5142  2 Se 2.41
4 Se 0.5000 0.0000 0.6965  2 Os 2.41

As for the density of states at the Fermi level: 3.31 states/eV/f.u. The volume is 79.73 Å³/cell. The value obtained for the raw total energy is -3.85 eV/atom. The space-group type is Cmm2 (35).

# NaTl

An optimized crystal structure of NaTl (PBEsol, Alexandria via LeMat-Bulk).

abc: 6.1103 6.1384 6.1384
angles: 80.15 90.00 90.00
Last column: nearest neighbours and their distance in Å.
Fractional coordinates of all 8 atoms:
1 Na 0.2500 0.8655 0.5107  4 Tl 3.11-3.46, 2 Na 3.46
2 Na 0.7500 0.5107 0.8655  4 Tl 3.11-3.46, 2 Na 3.46
3 Na 0.7500 0.1345 0.4893  4 Tl 3.11-3.46, 2 Na 3.46
4 Na 0.2500 0.4893 0.1345  4 Tl 3.11-3.46, 2 Na 3.46
5 Tl 0.5000 0.0000 0.0000  4 Tl 3.06-3.19
6 Tl 0.0000 0.0000 0.0000  4 Tl 3.06-3.19
7 Tl 0.2500 0.3536 0.6464  4 Na 3.11-3.24, 2 Tl 3.19
8 Tl 0.7500 0.6464 0.3536  4 Na 3.11-3.24, 2 Tl 3.19

As for the density of states at the Fermi level: 0.86 states/eV/f.u. The volume is 226.85 Å³/cell. The value obtained for the raw total energy is -2.11 eV/atom. The space-group type is Cmcm (63).

# TaW2Au

An optimized crystal structure of TaW2Au (PBEsol, Alexandria via LeMat-Bulk).

abc: 3.9333 3.9333 4.1865
angles: 90.00 90.00 90.00
Last column: nearest neighbours and their distance in Å.
Fractional coordinates of all 4 atoms:
1 Au 0.5000 0.5000 0.5000  4 Ta 2.78, 8 W 2.87
2 Ta 0.0000 0.0000 0.5000  4 Au 2.78, 8 W 2.87
3 W 0.0000 0.5000 0.0000  4 W 2.78, 4 Ta 2.87, 4 Au 2.87
4 W 0.5000 0.0000 0.0000  4 W 2.78, 4 Au 2.87, 4 Ta 2.87

As for the density of states at the Fermi level: 3.14 states/eV/f.u. The volume is 64.77 Å³/cell. The value obtained for the raw total energy is -10.87 eV/atom. The space-group type is P4/mmm (123).

# NaCa3Te

An optimized crystal structure of NaCa3Te (PBEsol, Alexandria via LeMat-Bulk).

abc: 5.9798 5.9798 5.9798
angles: 90.00 90.00 90.00
Last column: nearest neighbours and their distance in Å.
Fractional coordinates of all 5 atoms:
1 Na 0.5000 0.5000 0.5000  12 Ca 4.23
2 Ca 0.0000 0.5000 0.0000  2 Te 2.99
3 Ca 0.0000 0.0000 0.5000  2 Te 2.99
4 Ca 0.5000 0.0000 0.0000  2 Te 2.99
5 Te 0.0000 0.0000 0.0000  6 Ca 2.99

As for the density of states at the Fermi level: 5.52 states/eV/f.u. The volume is 213.82 Å³/cell. The value obtained for the raw total energy is -2.62 eV/atom. The space-group type is Pm-3m (221).

# ZrBeAl2

An optimized crystal structure of ZrBeAl2 (PBEsol, Alexandria via LeMat-Bulk).

abc: 3.9293 3.9293 3.9807
angles: 90.00 90.00 90.00
Last column: nearest neighbours and their distance in Å.
Fractional coordinates of all 4 atoms:
1 Be 0.5000 0.5000 0.5000  4 Zr 2.78, 8 Al 2.80
2 Al 0.0000 0.5000 0.0000  4 Al 2.78, 4 Be 2.80, 4 Zr 2.80
3 Al 0.5000 0.0000 0.0000  4 Al 2.78, 4 Zr 2.80, 4 Be 2.80
4 Zr 0.0000 0.0000 0.5000  4 Be 2.78, 8 Al 2.80

As for the density of states at the Fermi level: 1.03 states/eV/f.u. The volume is 61.46 Å³/cell. The value obtained for the raw total energy is -5.69 eV/atom. The space-group type is P4/mmm (123).

# La2MgAu

An optimized crystal structure of La2MgAu (PBEsol, Alexandria via LeMat-Bulk).

abc: 3.8259 4.6585 6.4741
angles: 90.00 107.24 90.00
Last column: nearest neighbours and their distance in Å.
Fractional coordinates of all 4 atoms:
1 Au 0.4424 0.5000 0.7595  2 Mg 2.82
2 La 0.0318 0.0000 0.9379  4 Au 3.21, 3 Mg 3.30-3.50
3 La 0.7118 0.5000 0.2992  4 Mg 3.27, 3 Au 3.34-3.43
4 Mg 0.3140 0.0000 0.5033  2 Au 2.82

As for the density of states at the Fermi level: 4.80 states/eV/f.u. The volume is 110.20 Å³/cell. The value obtained for the raw total energy is -4.44 eV/atom. The space-group type is Amm2 (38).

# BaAs2Pb

An optimized crystal structure of BaAs2Pb (PBEsol, Alexandria via LeMat-Bulk).

abc: 4.5086 4.5086 6.1868
angles: 111.37 111.37 90.00
Last column: nearest neighbours and their distance in Å.
Fractional coordinates of all 4 atoms:
1 Pb 0.2500 0.7500 0.5000  8 As 3.19-3.48, 4 Ba 3.48
2 As 0.0000 0.0000 0.0000  4 Ba 3.19, 4 As 3.48, 4 Pb 3.48
3 As 0.7500 0.2500 0.5000  4 Pb 3.19, 4 Ba 3.48, 4 As 3.48
4 Ba 0.5000 0.5000 0.0000  8 As 3.19-3.48, 4 Pb 3.48

As for the density of states at the Fermi level: 2.86 states/eV/f.u. The volume is 107.78 Å³/cell. The value obtained for the raw total energy is -4.37 eV/atom. The space-group type is I-4m2 (119).

# Pm2CuPt

An optimized crystal structure of Pm2CuPt (PBEsol, Alexandria via LeMat-Bulk).

abc: 4.9706 4.9706 4.9706
angles: 60.00 60.00 60.00
Last column: nearest neighbours and their distance in Å.
Fractional coordinates of all 4 atoms:
1 Pt 0.0000 0.0000 0.0000  8 Pm 3.04
2 Cu 0.5000 0.5000 0.5000  8 Pm 3.04
3 Pm 0.2500 0.2500 0.2500  4 Cu 3.04, 4 Pt 3.04
4 Pm 0.7500 0.7500 0.7500  4 Cu 3.04, 4 Pt 3.04

As for the density of states at the Fermi level: 2.91 states/eV/f.u. The volume is 86.84 Å³/cell. The value obtained for the raw total energy is -5.99 eV/atom. The space-group type is Fm-3m (225).

# Li3InC

An optimized crystal structure of Li3InC (PBEsol, Alexandria via LeMat-Bulk).

abc: 4.1263 4.1263 4.1263
angles: 90.00 90.00 90.00
Last column: nearest neighbours and their distance in Å.
Fractional coordinates of all 5 atoms:
1 C 0.0000 0.0000 0.0000  6 Li 2.06
2 Li 0.0000 0.5000 0.0000  2 C 2.06
3 Li 0.0000 0.0000 0.5000  2 C 2.06
4 Li 0.5000 0.0000 0.0000  2 C 2.06
5 In 0.5000 0.5000 0.5000  12 Li 2.92

As for the density of states at the Fermi level: 1.90 states/eV/f.u. The volume is 70.25 Å³/cell. The value obtained for the raw total energy is -3.35 eV/atom. The space-group type is Pm-3m (221).